Version 1
The following is a DFT calculation (PBE with a Hubbard U) of crystalline NaNdW2O8 at its relaxed geometry.

Cell: 7.5838 7.5838 6.7630 Å, 90.00 90.00 90.00°
Space group I-4m2 (No. 119)
Unique sites:
1 Na 0.0000 0.0000 0.0000
2 Nd 0.0000 0.5000 0.7500
3 W 0.0000 0.0000 0.5000
4 W 0.0000 0.5000 0.2500
5 O 0.0000 0.1935 0.6574
6 O 0.0000 0.3161 0.0772

Summary:
N(E_F) ... 0.000 states/eV/atom
Crystal system ... tetragonal



Version 2
The following is a DFT calculation (PBE with a Hubbard U) of crystalline NaNdW2O8 at its relaxed geometry.

Cell: 5.3811 5.3811 11.5809 Å, 90.00 90.00 90.00°
Space group I-4 (No. 82)
Unique sites:
1 Na 0.0000 0.0000 0.0000
2 Nd 0.0000 0.5000 0.2500
3 W 0.0000 0.0000 0.5000
4 W 0.0000 0.5000 0.7500
5 O 0.1472 0.7607 0.4112
6 O 0.1597 0.2603 0.8337

Summary:
N(E_F) ... 0.000 states/eV/atom
Crystal system ... tetragonal



Which structure loses on stability? version 1 does.